Computed, not measured: a relaxed structure of LuScInTe3 at the PBE-GGA level of DFT.

The calculated total energy is -4.72 eV per atom. The calculation puts the mass density at 6.4 g/cm3. The calculation puts the total moment at 0.06 μB per formula unit.

It has space group Cmcm (No. 63), with a = 4.241 Å, b = 14.938 Å, c = 11.688 Å, α = 90.00°, β = 90.00° and γ = 90.00°. The asymmetric unit holds Lu at (0.000, 0.000, 0.000), Sc at (0.000, 0.428, 0.250), In at (0.000, 0.245, 0.750), Te at (0.000, 0.060, 0.250) and Te at (0.000, 0.356, 0.028).